Record 1
First-principles (PBE) data for a relaxed structure of CsMnRe2I, as listed in the Alexandria database.

Computed properties:
energy relative to the elements, uncorrected	3.488	eV/atom
symmetry	No. 123
V	28.4	Å³/atom
crystal system	tetragonal

abc: 5.151 5.151 5.354
angles: 90.00 90.00 90.00
Site moments in Bohr magnetons follow the coordinates.
Fractional coordinates of all 5 atoms:
Mn  0.000  0.000  0.500  3.94
I  0.500  0.500  0.500  0.14
Re  0.000  0.500  0.000  1.89
Re  0.500  0.000  0.000  1.89
Cs  0.000  0.000  0.000  0.00

---

Record 2
First-principles (PBE) data for a relaxed structure of Cu3SbC, as listed in the Alexandria database.

Computed properties:
energy relative to the elements, uncorrected	1.910	eV/atom
symmetry	No. 221
V	22.9	Å³/atom
crystal system	cubic

abc: 4.857 4.857 4.857
angles: 90.00 90.00 90.00
Site moments in Bohr magnetons follow the coordinates.
Fractional coordinates of all 5 atoms:
Cu  0.000  0.500  0.000  -0.01
Cu  0.500  0.000  0.000  -0.01
Cu  0.000  0.000  0.500  0.02
C  0.500  0.500  0.500  0.91
Sb  0.000  0.000  0.000  0.01

---

Record 3
First-principles (PBE) data for a relaxed structure of MnCu5Au6, as listed in the Alexandria database.

Computed properties:
symmetry	No. 12
V	15.6	Å³/atom
crystal system	monoclinic
formation enthalpy at 0 K	30	meV per atom

abc: 4.962 8.837 6.209
angles: 44.63 81.93 78.62
Site moments in Bohr magnetons follow the coordinates.
Fractional coordinates of all 12 atoms:
Au  0.252  0.915  0.665  0.02
Cu  0.500  0.500  0.000  -0.01
Au  0.748  0.419  0.665  0.02
Mn  0.000  0.000  0.000  3.93
Cu  0.000  0.332  0.337  0.02
Au  0.252  0.581  0.335  0.02
Au  0.249  0.253  0.000  0.01
Cu  0.500  0.164  0.671  0.02
Cu  0.500  0.836  0.329  0.02
Cu  0.000  0.668  0.663  0.02
Au  0.748  0.085  0.335  0.02
Au  0.751  0.747  0.000  0.01

---

Record 4
First-principles (PBE) data for a relaxed structure of CaNd5Hg3, as listed in the Alexandria database.

Computed properties:
symmetry	No. 193
V	30.1	Å³/atom
crystal system	hexagonal
formation enthalpy at 0 K	-302	meV per atom

abc: 7.069 9.411 9.410
angles: 120.00 90.00 90.00
Fractional coordinates of all 18 atoms:
Nd  0.500  0.333  0.667
Ca  0.500  0.000  0.000
Nd  0.000  0.667  0.333
Hg  0.750  0.333  0.333
Ca  0.000  0.000  0.000
Hg  0.750  0.667  0.000
Nd  0.750  0.332  0.000
Hg  0.250  0.333  0.000
Nd  0.250  0.668  0.000
Nd  0.750  0.000  0.332
Nd  0.750  0.667  0.668
Hg  0.250  0.667  0.667
Nd  0.250  0.333  0.332
Hg  0.250  0.000  0.333
Hg  0.750  0.000  0.667
Nd  0.000  0.333  0.667
Nd  0.500  0.667  0.333
Nd  0.250  0.000  0.668

---

Record 5
First-principles (PBE) data for a relaxed structure of Rb2VBiBr6, as listed in the Alexandria database.

Computed properties:
energy relative to the elements, uncorrected	-1.010	eV/atom
symmetry	No. 225
V	35.6	Å³/atom
crystal system	cubic

abc: 7.952 7.952 7.954
angles: 60.01 60.01 90.00
Site moments in Bohr magnetons follow the coordinates.
Fractional coordinates of all 10 atoms:
Br  0.263  0.737  0.000  0.01
Bi  0.000  0.000  0.000  0.45
Br  0.264  0.264  0.472  0.01
Br  0.737  0.263  0.000  0.01
Rb  0.750  0.250  0.500  0.00
Br  0.263  0.263  0.000  0.01
V  0.500  0.500  0.000  2.79
Br  0.737  0.737  0.000  0.01
Rb  0.250  0.750  0.500  0.00
Br  0.736  0.736  0.528  0.01

---

Record 6
First-principles (PBE) data for a relaxed structure of Sm8PtAu2, as listed in the Alexandria database.

Computed properties:
symmetry	No. 12
V	28.7	Å³/atom
crystal system	monoclinic
formation enthalpy at 0 K	-503	meV per atom

abc: 5.145 6.947 9.356
angles: 100.47 105.96 90.00
Fractional coordinates of all 11 atoms:
Sm  0.588  0.444  0.176
Au  0.192  0.743  0.383
Sm  0.661  0.971  0.322
Au  0.808  0.257  0.617
Pt  0.500  0.000  0.000
Sm  0.972  0.223  0.944
Sm  0.204  0.330  0.407
Sm  0.796  0.670  0.593
Sm  0.028  0.777  0.056
Sm  0.412  0.556  0.824
Sm  0.339  0.029  0.678

---

Record 7
First-principles (PBE) data for a relaxed structure of CrAs2Au, as listed in the Alexandria database.

Computed properties:
symmetry	No. 123
V	17.5	Å³/atom
crystal system	tetragonal
formation enthalpy at 0 K	184	meV per atom

abc: 4.418 4.423 3.577
angles: 90.00 90.00 90.00
Site moments in Bohr magnetons follow the coordinates.
Fractional coordinates of all 4 atoms:
As  0.500  0.500  0.000  -0.07
Cr  0.000  0.500  0.500  3.38
Au  0.500  0.000  0.500  0.00
As  0.000  0.000  0.000  -0.07

---

Record 8
First-principles (PBE) data for a relaxed structure of NaSnP2, as listed in the Alexandria database.

Computed properties:
symmetry	No. 166
V	22.4	Å³/atom
crystal system	trigonal
formation enthalpy at 0 K	13	meV per atom

abc: 3.738 3.738 7.707
angles: 75.97 75.97 60.00
Fractional coordinates of all 4 atoms:
Sn  0.000  0.000  0.000
P  0.738  0.738  0.786
Na  0.500  0.500  0.500
P  0.262  0.262  0.214

---

Record 9
First-principles (PBE) data for a relaxed structure of OsRu2Au, as listed in the Alexandria database.

Computed properties:
symmetry	No. 12
V	15.0	Å³/atom
crystal system	monoclinic
formation enthalpy at 0 K	376	meV per atom

abc: 4.763 4.763 4.826
angles: 80.77 80.77 33.70
Fractional coordinates of all 4 atoms:
Au  0.750  0.750  0.750
Ru  0.993  0.993  0.022
Ru  0.507  0.507  0.478
Os  0.250  0.250  0.250

---

Record 10
First-principles (PBE) data for a relaxed structure of Sm3MgPt8, as listed in the Alexandria database.

Computed properties:
symmetry	No. 160
V	19.1	Å³/atom
crystal system	trigonal
formation enthalpy at 0 K	-1009	meV per atom

abc: 5.449 5.449 9.433
angles: 73.21 73.21 60.00
Fractional coordinates of all 12 atoms:
Pt  0.437  0.940  0.187
Mg  0.870  0.870  0.391
Pt  0.938  0.439  0.686
Sm  0.994  0.994  0.019
Pt  0.940  0.437  0.187
Sm  0.505  0.505  0.485
Sm  0.377  0.377  0.868
Pt  0.439  0.938  0.686
Pt  0.688  0.688  0.936
Pt  0.437  0.437  0.187
Pt  0.938  0.938  0.686
Pt  0.188  0.188  0.435

---

Record 11
First-principles (PBE) data for a relaxed structure of LaPuPO2, as listed in the Alexandria database.

Computed properties:
energy relative to the elements, uncorrected	-2.511	eV/atom
symmetry	No. 63
V	18.0	Å³/atom
crystal system	orthorhombic

abc: 3.957 6.358 7.542
angles: 90.00 90.00 108.13
Site moments in Bohr magnetons follow the coordinates.
Fractional coordinates of all 10 atoms:
P  0.540  0.081  0.250  -0.14
O  0.169  0.337  0.558  -0.09
O  0.831  0.663  0.442  -0.09
P  0.460  0.919  0.750  -0.14
La  0.269  0.538  0.250  0.02
O  0.169  0.337  0.942  -0.09
Pu  0.000  0.000  0.500  4.22
O  0.831  0.663  0.058  -0.09
Pu  0.000  0.000  0.000  4.22
La  0.731  0.462  0.750  0.02

---

Record 12
First-principles (PBE) data for a relaxed structure of ReMoHRu2, as listed in the Alexandria database.

Computed properties:
symmetry	No. 123
V	12.1	Å³/atom
crystal system	tetragonal
DFT total energy	-9.012	eV per atom

abc: 3.905 3.905 3.967
angles: 90.00 90.00 90.00
Fractional coordinates of all 5 atoms:
H  0.000  0.000  0.000
Re  0.500  0.500  0.500
Ru  0.000  0.500  0.000
Ru  0.500  0.000  0.000
Mo  0.000  0.000  0.500

---

Record 13
First-principles (PBE) data for a relaxed structure of Y2BeFe, as listed in the Alexandria database.

Computed properties:
symmetry	No. 122
V	21.2	Å³/atom
crystal system	tetragonal
formation enthalpy at 0 K	620	meV per atom

abc: 7.417 7.417 6.083
angles: 52.44 52.44 90.00
Site moments in Bohr magnetons follow the coordinates.
Fractional coordinates of all 8 atoms:
Y  0.115  0.625  0.250  -0.23
Fe  0.750  0.250  0.500  1.82
Y  0.635  0.125  0.250  -0.23
Y  0.375  0.365  0.750  -0.22
Be  0.500  0.500  0.000  -0.03
Be  0.250  0.750  0.500  -0.03
Y  0.875  0.885  0.750  -0.22
Fe  0.000  0.000  0.000  1.82

---

Record 14
First-principles (PBE) data for a relaxed structure of CdReRu2, as listed in the Alexandria database.

Computed properties:
symmetry	No. 35
V	15.8	Å³/atom
crystal system	orthorhombic
formation enthalpy at 0 K	512	meV per atom

abc: 2.736 2.736 9.471
angles: 90.00 90.00 116.72
Site moments in Bohr magnetons follow the coordinates.
Fractional coordinates of all 4 atoms:
Re  0.500  0.500  0.770  -0.04
Ru  0.000  0.000  0.999  0.09
Cd  0.000  0.000  0.495  0.00
Ru  0.500  0.500  0.236  0.58

---

Record 15
First-principles (PBE) data for a relaxed structure of TbPmOsAu, as listed in the Alexandria database.

Computed properties:
symmetry	No. 216
V	22.4	Å³/atom
crystal system	cubic
formation enthalpy at 0 K	-388	meV per atom

abc: 5.021 5.021 5.021
angles: 60.00 60.00 60.00
Fractional coordinates of all 4 atoms:
Tb  0.250  0.250  0.250
Os  0.500  0.500  0.500
Au  0.000  0.000  0.000
Pm  0.750  0.750  0.750

---

Record 16
First-principles (PBE) data for a relaxed structure of PmThPaN3, as listed in the Alexandria database.

Computed properties:
energy relative to the elements, uncorrected	-1.400	eV/atom
symmetry	No. 11
V	16.6	Å³/atom
crystal system	monoclinic

abc: 3.570 6.199 9.195
angles: 101.83 90.00 90.00
Fractional coordinates of all 12 atoms:
Pm  0.250  0.353  0.313
N  0.750  0.263  0.508
Th  0.250  0.762  0.046
Pa  0.750  0.866  0.362
N  0.250  0.445  0.830
N  0.250  0.960  0.840
Pa  0.250  0.134  0.638
N  0.250  0.737  0.492
Th  0.750  0.238  0.954
N  0.750  0.040  0.160
Pm  0.750  0.647  0.687
N  0.750  0.555  0.170

---

Record 17
First-principles (PBE) data for a relaxed structure of NaAsBrO2, as listed in the Alexandria database.

Computed properties:
energy relative to the elements, uncorrected	-1.123	eV/atom
symmetry	No. 11
V	19.0	Å³/atom
crystal system	monoclinic

abc: 4.097 6.879 7.461
angles: 115.08 90.00 90.00
Fractional coordinates of all 10 atoms:
O  0.250  0.489  0.172
As  0.750  0.380  0.575
Na  0.750  0.314  0.033
O  0.750  0.511  0.828
Br  0.750  0.985  0.241
O  0.750  0.574  0.461
Br  0.250  0.015  0.759
O  0.250  0.426  0.539
As  0.250  0.620  0.425
Na  0.250  0.686  0.967

---

Record 18
First-principles (PBE) data for a relaxed structure of Si2HgAu, as listed in the Alexandria database.

Computed properties:
energy relative to the elements, uncorrected	0.380	eV/atom
symmetry	No. 166
V	19.2	Å³/atom
crystal system	trigonal

abc: 10.555 10.555 10.555
angles: 15.90 15.90 15.90
Fractional coordinates of all 4 atoms:
Hg  0.750  0.750  0.750
Si  0.512  0.512  0.512
Si  0.988  0.988  0.988
Au  0.250  0.250  0.250

---

Record 19
First-principles (PBE) data for a relaxed structure of CaFeCl, as listed in the Alexandria database.

Computed properties:
energy relative to the elements, uncorrected	-0.053	eV/atom
symmetry	No. 187
V	19.0	Å³/atom
crystal system	hexagonal

abc: 4.091 4.091 3.929
angles: 90.00 90.00 120.00
Site moments in Bohr magnetons follow the coordinates.
Fractional coordinates of all 3 atoms:
Fe  0.333  0.667  0.500  1.98
Ca  0.000  0.000  0.000  -0.10
Cl  0.667  0.333  0.500  0.03

---

Record 20
First-principles (PBE) data for a relaxed structure of La3Dy7Er2, as listed in the Alexandria database.

Computed properties:
symmetry	No. 166
V	35.2	Å³/atom
crystal system	trigonal
formation enthalpy at 0 K	272	meV per atom

abc: 6.543 6.543 12.018
angles: 74.20 74.20 60.00
Fractional coordinates of all 12 atoms:
La  0.156  0.156  0.531
Dy  0.583  0.083  0.751
Dy  0.583  0.583  0.751
La  0.844  0.844  0.469
Dy  0.417  0.417  0.249
Er  0.667  0.667  0.000
Dy  0.083  0.583  0.751
La  0.000  0.000  0.000
Dy  0.917  0.417  0.249
Dy  0.417  0.917  0.249
Er  0.333  0.333  0.000
Dy  0.500  0.500  0.500